(1)
VASP calculation (GGA-PBEsol) on CaIr2Cl after structural relaxation.

Cell: 3.6020 3.6020 5.8834 Å, 90.00 90.00 90.00°
Fractional positions:
Ca: 0.5000 0.5000 0.5000
Ir: 0.0000 0.5000 0.0000
Ir: 0.5000 0.0000 0.0000
Cl: 0.0000 0.0000 0.5000

- V (Å³/f.u.) = 76.3
- offset from the most stable computed form (meV per atom) = 162
- ΔE_f (raw) (meV per atom) = -149
- Fermi-level density of states (states/eV/cell) = 2.88

(2)
VASP calculation (GGA-PBEsol) on LiReSe2 after structural relaxation.

Cell: 3.2169 3.2169 8.5604 Å, 79.17 79.17 60.00°
Fractional positions:
Re: 0.5000 0.5000 0.5000
Se: 0.9022 0.9022 0.2934
Se: 0.0978 0.0978 0.7066
Li: 0.0000 0.0000 0.0000

- V (Å³/f.u.) = 74.9
- offset from the most stable computed form (meV per atom) = 13
- ΔE_f (raw) (meV per atom) = -127
- Fermi-level density of states (states/eV/cell) = 1.96

(3)
VASP calculation (GGA-PBEsol) on LaMo3S after structural relaxation.

Cell: 4.7280 4.7280 4.7280 Å, 90.00 90.00 90.00°
Fractional positions:
Mo: 0.0000 0.5000 0.0000
Mo: 0.0000 0.0000 0.5000
Mo: 0.5000 0.0000 0.0000
S: 0.5000 0.5000 0.5000
La: 0.0000 0.0000 0.0000

- V (Å³/f.u.) = 105.7
- ΔE_f (raw) (meV per atom) = 2530
- Fermi-level density of states (states/eV/cell) = 7.78

(4)
VASP calculation (GGA-PBEsol) on KLaSe after structural relaxation.

Cell: 3.8231 3.8231 7.8875 Å, 104.03 104.03 90.00°
Fractional positions:
K: 0.0272 0.0272 0.0544
La: 0.2793 0.2793 0.5585
Se: 0.6935 0.6935 0.3871

- V (Å³/f.u.) = 108.3
- ΔE_f (raw) (meV per atom) = -988
- Fermi-level density of states (states/eV/cell) = 1.75

(5)
VASP calculation (GGA-PBEsol) on MnOsW2 after structural relaxation.

Cell: 2.7868 4.6349 4.6349 Å, 107.46 90.00 90.00°
Site moments in Bohr magnetons follow the coordinates.
Fractional positions:
Mn: 0.5000 0.0000 0.0000  1.70
Os: 0.5000 0.5000 0.5000  0.07
W: 0.0000 0.5000 0.0000  -0.12
W: 0.0000 0.0000 0.5000  -0.12

- V (Å³/f.u.) = 57.1
- E_form (meV per atom) = 201
- offset from the most stable computed form (meV per atom) = 36
- Fermi-level density of states (states/eV/cell) = 4.15

(6)
VASP calculation (GGA-PBEsol) on Zr5Ag after structural relaxation.

Cell: 3.1424 3.1424 12.8439 Å, 90.00 90.00 90.00°
Fractional positions:
Zr: 0.0000 0.0000 0.6557
Zr: 0.5000 0.5000 0.8268
Zr: 0.0000 0.0000 0.0000
Zr: 0.5000 0.5000 0.1732
Zr: 0.0000 0.0000 0.3443
Ag: 0.5000 0.5000 0.5000

- V (Å³/f.u.) = 126.8
- E_form (meV per atom) = -39
- offset from the most stable computed form (meV per atom) = 0
- Fermi-level density of states (states/eV/cell) = 6.41

(7)
VASP calculation (GGA-PBEsol) on TlSn3Au after structural relaxation.

Cell: 5.3447 5.3447 5.3447 Å, 90.00 90.00 90.00°
Fractional positions:
Tl: 0.5000 0.5000 0.5000
Au: 0.0000 0.0000 0.0000
Sn: 0.0000 0.5000 0.0000
Sn: 0.0000 0.0000 0.5000
Sn: 0.5000 0.0000 0.0000

- V (Å³/f.u.) = 152.7
- E_form (meV per atom) = 292
- Fermi-level density of states (states/eV/cell) = 2.99

(8)
VASP calculation (GGA-PBEsol) on Mn4TcMo after structural relaxation.

Cell: 4.6323 4.6323 4.6323 Å, 60.00 60.00 60.00°
Fractional positions:
Mn: 0.8743 0.3752 0.3752
Mn: 0.3752 0.3752 0.3752
Mn: 0.3752 0.3752 0.8743
Mn: 0.3752 0.8743 0.3752
Mo: 0.7500 0.7500 0.7500
Tc: 0.0000 0.0000 0.0000

- V (Å³/f.u.) = 70.3
- E_form (meV per atom) = -65
- Fermi-level density of states (states/eV/cell) = 4.10

E? In order: -6.0963; -5.8770; -6.4768; -4.4308; -12.1971; -8.1655; -3.5742; -10.4112 eV/atom.